KBa2Ga | PBE | optimized geometry

Fermi-level density of states	0.793	states/eV/atom
energy	-2.07	eV per atom
formation energy	-77	meV per atom
V	219.52	Å³/cell
ρ	2.9	g cm⁻³

Cell: 12.7819 12.7819 12.7819 Å, 20.28 20.28 20.28°
Element x y z (fractional)
1 K 0.0000 0.0000 0.0000
2 Ba 0.2250 0.2250 0.2250
3 Ba 0.7750 0.7750 0.7750
4 Ga 0.5000 0.5000 0.5000